<A>
DFT (PBE) results for a geometry-optimized Re3Si structure.

The structure belongs to space group P4/mmm (No. 123); the cell edges are 2.911, 2.911 and 6.656 Å and the angles 90.00°, 90.00° and 90.00°. The distinct sites, in fractional coordinates, are Re at (0.000, 0.000, 0.000), Re at (0.500, 0.500, 0.272) and Si at (0.000, 0.000, 0.500).

The value obtained for the density of states at the Fermi level is 0.667 states/eV/atom.


<B>
DFT (PBE) results for a geometry-optimized Re3Si structure.

The structure belongs to space group Fm-3m (No. 225); the cell edges are 6.127, 6.127 and 6.127 Å and the angles 90.00°, 90.00° and 90.00°. The distinct sites, in fractional coordinates, are Re at (0.000, 0.000, 0.000), Re at (0.250, 0.250, 0.250) and Si at (0.000, 0.000, 0.500).

The value obtained for the density of states at the Fermi level is 0.849 states/eV/atom.


The most stable arrangement is <A>, and the next structure is 251 meV/atom less stable.


<A>
DFT (PBE) results for a geometry-optimized Re3Si structure.

The structure belongs to space group Pm-3m (No. 221); the cell edges are 3.867, 3.867 and 3.867 Å and the angles 90.00°, 90.00° and 90.00°. The distinct sites, in fractional coordinates, are Re at (0.000, 0.000, 0.500) and Si at (0.500, 0.500, 0.500).

The value obtained for the density of states at the Fermi level is 1.285 states/eV/atom.


<B>
DFT (PBE) results for a geometry-optimized Re3Si structure.

The structure belongs to space group C2/m (No. 12); the cell edges are 9.084, 2.807 and 4.600 Å and the angles 90.00°, 98.80° and 90.00°. The distinct sites, in fractional coordinates, are Re at (0.000, 0.000, 0.000), Re at (0.246, 0.500, 0.250) and Si at (0.000, 0.500, 0.500).

The value obtained for the density of states at the Fermi level is 1.013 states/eV/atom.


<C>
DFT (PBE) results for a geometry-optimized Re3Si structure.

The structure belongs to space group Immm (No. 71); the cell edges are 2.943, 4.409 and 8.730 Å and the angles 90.00°, 90.00° and 90.00°. The distinct sites, in fractional coordinates, are Re at (0.000, 0.000, 0.000), Re at (0.000, 0.500, 0.230) and Si at (0.000, 0.000, 0.500).

The value obtained for the density of states at the Fermi level is 0.532 states/eV/atom.


<D>
DFT (PBE) results for a geometry-optimized Re3Si structure.

The structure belongs to space group P4/mmm (No. 123); the cell edges are 4.394, 4.394 and 2.982 Å and the angles 90.00°, 90.00° and 90.00°. The distinct sites, in fractional coordinates, are Re at (0.000, 0.000, 0.000), Re at (0.000, 0.500, 0.500) and Si at (0.500, 0.500, 0.000).

The value obtained for the density of states at the Fermi level is 0.787 states/eV/atom.


The most stable arrangement is <C>, and the next structure is 206 meV/atom less stable.


<A>
DFT (PBE) results for a geometry-optimized Re3Si structure.

The structure belongs to space group R-3m (No. 166, hexagonal axes); the cell edges are 8.4729, 8.4729 and 2.8150 Å and the angles 90.00°, 90.00° and 120.00°. The distinct sites, in fractional coordinates, are Re at (0.0000, 0.5000, 0.0000) and Si at (0.0000, 0.0000, 0.0000).

The value obtained for the density of states at the Fermi level is 1.146 states/eV/atom.


<B>
DFT (PBE) results for a geometry-optimized Re3Si structure.

The structure belongs to space group P6_3/mmc (No. 194); the cell edges are 5.4682, 5.4682 and 4.4402 Å and the angles 90.00°, 90.00° and 120.00°. The distinct sites, in fractional coordinates, are Re at (0.1708, 0.3417, 0.2500) and Si at (0.3333, 0.6667, 0.7500).

The value obtained for the density of states at the Fermi level is 1.234 states/eV/atom.


The most stable arrangement is <B>, and the next structure is 139 meV/atom less stable.